Record 1
CaNi3, relaxed, DFT PBE-GGA; DFT total energy = -19.6 eV/f.u.; N(E_F) = 1.125 states/eV/atom; formation enthalpy at 0 K = -76.0 meV/atom; space-group type = Pmmn (59)
1.0
-1.907 2.944 2.007
-1.086 -3.329 3.851
5.497 1.576 2.913
Ni Ca
6 2
direct
0.500 0.102 0.311 Ni
0.500 0.102 0.689 Ni
0.500 0.868 0.000 Ni
0.000 0.132 0.500 Ni
0.000 0.898 0.811 Ni
0.000 0.898 0.189 Ni
0.000 0.383 0.000 Ca
0.500 0.617 0.500 Ca

***

Record 2
Pm2NdAg, relaxed, DFT PBE-GGA; DFT total energy = -17.2 eV/f.u.; ΔE to the lowest computed polymorph = 0.107 eV/atom; N(E_F) = 1.158 states/eV/atom; formation enthalpy at 0 K = -9.5 meV/atom; space-group type = R-3m (166)
1.0
3.659 0.000 0.000
1.830 3.169 0.000
1.830 1.056 10.749
Nd Pm Ag
1 2 1
direct
0.500 0.500 0.500 Nd
0.741 0.741 0.778 Pm
0.259 0.259 0.222 Pm
0.000 0.000 0.000 Ag

***

Record 3
NdVCo, relaxed, DFT PBE-GGA; DFT total energy = -20.8 eV/f.u.; N(E_F) = 1.168 states/eV/atom; formation enthalpy at 0 K = 68.2 meV/atom; space-group type = Cmcm (63)
1.0
-1.811 -0.875 -2.712
-0.155 -4.694 3.720
-4.756 2.130 2.489
V Co Nd
2 2 2
direct
0.000 0.000 0.000 V
0.000 0.000 0.500 V
0.574 0.149 0.750 Co
0.426 0.851 0.250 Co
0.298 0.595 0.750 Nd
0.702 0.405 0.250 Nd

***

Record 4
Tb2FeSi, relaxed, DFT PBE-GGA; DFT total energy = -21.4 eV/f.u.; N(E_F) = 0.797 states/eV/atom; space-group type = R-3m (166); E_form (uncorrected) = 0.439 eV per atom
1.0
-0.703 -3.043 -1.238
1.475 -1.043 -2.832
7.407 -5.086 3.737
Tb Si Fe
2 1 1
direct
0.909 0.909 0.274 Tb
0.091 0.091 0.726 Tb
0.500 0.500 0.500 Si
0.000 0.000 0.000 Fe

***

Record 5
Y2RePb, relaxed, DFT PBE-GGA; DFT total energy = -29.4 eV/f.u.; N(E_F) = 0.924 states/eV/atom; formation enthalpy at 0 K = -75.5 meV/atom; space-group type = P4/mmm (123)
1.0
3.556 -0.012 0.000
0.013 3.556 0.000
0.000 0.000 7.761
Y Re Pb
2 1 1
direct
0.000 0.000 0.539 Y
0.000 0.000 0.961 Y
0.500 0.500 0.750 Re
0.500 0.500 0.250 Pb

***

Record 6
Pm2SbPd8, relaxed, DFT PBE-GGA; DFT total energy = -61.7 eV/f.u.; N(E_F) = 0.360 states/eV/atom; space-group type = Immm (71); E_form (uncorrected) = -0.594 eV per atom
1.0
4.807 0.000 0.000
0.000 5.994 -0.184
-2.404 -2.779 7.361
Pd Sb Pm
8 1 2
direct
0.361 0.602 0.721 Pd
0.000 0.242 0.000 Pd
0.639 0.881 0.279 Pd
0.184 0.184 0.367 Pd
0.639 0.398 0.279 Pd
0.361 0.119 0.721 Pd
0.000 0.758 0.000 Pd
0.816 0.816 0.633 Pd
0.500 0.000 0.000 Sb
0.814 0.314 0.629 Pm
0.186 0.686 0.371 Pm

***

Record 7
NdYAs2, relaxed, DFT PBE-GGA; DFT total energy = -26.0 eV/f.u.; ΔE to the lowest computed polymorph = 0.163 eV/atom; N(E_F) = 0.088 states/eV/atom; formation enthalpy at 0 K = -1367.2 meV/atom; space-group type = R3m (160)
1.0
-3.227 -0.759 -2.518
-1.618 -3.830 -0.212
-6.127 0.083 4.387
Nd As Y
1 2 1
direct
0.669 0.669 0.992 Nd
0.085 0.085 0.746 As
0.248 0.248 0.255 As
0.498 0.498 0.507 Y

***

Record 8
Sr5Ca6Ac, relaxed, DFT PBE-GGA; DFT total energy = -24.1 eV/f.u.; N(E_F) = 1.453 states/eV/atom; formation enthalpy at 0 K = 39.5 meV/atom; space-group type = Immm (71)
1.0
-4.796 0.765 -3.225
-3.567 -10.283 2.865
0.091 8.093 7.053
Sr Ca Ac
5 6 1
direct
0.666 0.666 0.331 Sr
0.333 0.833 0.667 Sr
0.000 0.500 0.000 Sr
0.334 0.334 0.669 Sr
0.667 0.167 0.333 Sr
0.835 0.083 0.671 Ca
0.835 0.588 0.671 Ca
0.500 0.245 0.000 Ca
0.165 0.412 0.329 Ca
0.165 0.917 0.329 Ca
0.500 0.755 0.000 Ca
0.000 0.000 0.000 Ac

***

Record 9
TlHg2Mo, relaxed, DFT PBE-GGA; DFT total energy = -11.6 eV/f.u.; ΔE to the lowest computed polymorph = 0.047 eV/atom; N(E_F) = 0.491 states/eV/atom; formation enthalpy at 0 K = 559.9 meV/atom; space-group type = R3m (160)
1.0
10.368 -0.004 -0.003
9.893 3.103 -0.003
9.893 1.513 2.709
Tl Mo Hg
1 1 2
direct
0.756 0.756 0.756 Tl
0.502 0.502 0.502 Mo
0.998 0.998 0.998 Hg
0.244 0.244 0.244 Hg

***

Record 10
SiPAu, relaxed, DFT PBE-GGA; DFT total energy = -13.5 eV/f.u.; ΔE to the lowest computed polymorph = 0.388 eV/atom; N(E_F) = 0.368 states/eV/atom; space-group type = P-6m2 (187); E_form (uncorrected) = 0.189 eV per atom
1.0
1.718 -2.976 0.000
1.718 2.976 0.000
0.000 0.000 9.902
P Au Si
2 2 2
direct
0.000 0.000 0.000 P
0.000 0.000 0.500 P
0.667 0.333 0.180 Au
0.667 0.333 0.820 Au
0.333 0.667 0.653 Si
0.333 0.667 0.347 Si

***

Record 11
BaLiMo2, relaxed, DFT PBE-GGA; DFT total energy = -21.6 eV/f.u.; ΔE to the lowest computed polymorph = 0.408 eV/atom; N(E_F) = 0.887 states/eV/atom; formation enthalpy at 0 K = 980.1 meV/atom; space-group type = Immm (71)
1.0
6.357 -0.002 -0.001
3.944 4.986 0.001
-4.692 -3.439 2.563
Mo Ba Li
2 1 1
direct
0.482 0.482 0.000 Mo
0.018 0.018 0.000 Mo
0.750 0.250 0.500 Ba
0.250 0.750 0.500 Li

***

Record 12
ScSiPbI2, relaxed, DFT PBE-GGA; DFT total energy = -17.1 eV/f.u.; N(E_F) = 1.018 states/eV/atom; space-group type = P4/mmm (123); E_form (uncorrected) = 0.292 eV per atom
1.0
-2.768 -0.630 4.792
0.154 -5.320 -0.610
4.831 -0.178 2.767
I Si Sc Pb
2 1 1 1
direct
0.000 0.000 0.500 I
0.500 0.000 0.000 I
0.000 0.000 0.000 Si
0.000 0.500 0.000 Sc
0.500 0.500 0.500 Pb

***

Record 13
Dy6Ho2Er3Tl, relaxed, DFT PBE-GGA; DFT total energy = -53.0 eV/f.u.; N(E_F) = 1.282 states/eV/atom; formation enthalpy at 0 K = -12.9 meV/atom; space-group type = C2/m (12)
1.0
6.072 -0.004 0.000
-3.038 5.257 0.000
-1.022 -1.769 11.410
Dy Ho Tl Er
6 2 1 3
direct
0.753 0.753 0.250 Dy
0.412 0.082 0.248 Dy
0.588 0.918 0.752 Dy
0.247 0.247 0.750 Dy
0.918 0.588 0.752 Dy
0.082 0.412 0.248 Dy
0.666 0.334 0.000 Ho
0.334 0.666 0.000 Ho
0.000 0.000 0.000 Tl
0.167 0.833 0.500 Er
0.833 0.167 0.500 Er
0.500 0.500 0.500 Er

***

Record 14
Pr3Th2Se6, relaxed, DFT PBE-GGA; DFT total energy = -69.7 eV/f.u.; N(E_F) = 0.502 states/eV/atom; space-group type = C2/m (12); E_form (uncorrected) = -1.780 eV per atom
1.0
6.964 0.000 2.088
3.482 6.326 1.044
0.366 0.000 7.295
Se Th Pr
6 2 3
direct
0.092 0.328 0.741 Se
0.420 0.672 0.741 Se
0.908 0.672 0.259 Se
0.254 0.000 0.264 Se
0.746 0.000 0.736 Se
0.580 0.328 0.259 Se
0.165 0.669 0.500 Th
0.835 0.331 0.500 Th
0.336 0.328 0.000 Pr
0.000 0.000 0.000 Pr
0.664 0.672 0.000 Pr

***

Record 15
Rb2HfAs, relaxed, DFT PBE-GGA; DFT total energy = -12.1 eV/f.u.; ΔE to the lowest computed polymorph = 0.827 eV/atom; N(E_F) = 1.854 states/eV/atom; formation enthalpy at 0 K = 1098.6 meV/atom; space-group type = Fm-3m (225)
1.0
0.000 4.164 4.164
4.164 0.000 4.164
4.164 4.164 0.000
As Hf Rb
1 1 2
direct
0.000 0.000 0.000 As
0.500 0.500 0.500 Hf
0.250 0.250 0.250 Rb
0.750 0.750 0.750 Rb

***

Record 16
SrLa2As, relaxed, DFT PBE-GGA; DFT total energy = -18.4 eV/f.u.; N(E_F) = 1.296 states/eV/atom; formation enthalpy at 0 K = -541.5 meV/atom; space-group type = P4mm (99)
1.0
-1.958 -2.486 2.487
-1.358 -2.091 -3.159
6.850 -5.018 0.375
La As Sr
2 1 1
direct
0.000 0.000 0.944 La
0.500 0.500 0.201 La
0.500 0.500 0.802 As
0.000 0.000 0.553 Sr

***

Record 17
SiNi2Au, relaxed, DFT PBE-GGA; DFT total energy = -19.9 eV/f.u.; N(E_F) = 1.047 states/eV/atom; space-group type = R3m (160); E_form (uncorrected) = 0.089 eV per atom
1.0
8.289 0.015 0.009
7.819 2.751 0.009
7.819 1.343 2.401
Ni Au Si
2 1 1
direct
0.007 0.007 0.007 Ni
0.753 0.753 0.753 Ni
0.250 0.250 0.250 Au
0.489 0.489 0.489 Si

***

Record 18
ZnInCl3, relaxed, DFT PBE-GGA; DFT total energy = -14.4 eV/f.u.; ΔE to the lowest computed polymorph = 0.058 eV/atom; N(E_F) = 0.000 states/eV/atom; space-group type = P2_1/m (11); E_form (uncorrected) = -0.967 eV per atom
1.0
-3.216 -3.203 -3.322
8.169 -4.624 -3.452
-2.143 -5.574 2.396
Cl In Zn
6 2 2
direct
0.134 0.077 0.684 Cl
0.866 0.923 0.316 Cl
0.677 0.750 0.875 Cl
0.866 0.577 0.316 Cl
0.323 0.250 0.125 Cl
0.134 0.423 0.684 Cl
0.895 0.250 0.524 In
0.105 0.750 0.476 In
0.367 0.250 0.746 Zn
0.633 0.750 0.254 Zn

***

Record 19
PrSm3Dy2Er6, relaxed, DFT PBE-GGA; DFT total energy = -55.3 eV/f.u.; N(E_F) = 1.213 states/eV/atom; formation enthalpy at 0 K = 17.6 meV/atom; space-group type = C2/m (12)
1.0
6.170 0.001 0.009
-3.083 5.345 0.009
-1.042 -1.804 11.555
Pr Dy Er Sm
1 2 6 3
direct
0.000 0.000 0.000 Pr
0.667 0.333 0.000 Dy
0.333 0.667 0.000 Dy
0.083 0.418 0.250 Er
0.251 0.251 0.751 Er
0.582 0.917 0.750 Er
0.749 0.749 0.249 Er
0.917 0.582 0.750 Er
0.418 0.083 0.250 Er
0.833 0.167 0.500 Sm
0.167 0.833 0.500 Sm
0.500 0.500 0.500 Sm

***

Record 20
Ho3Mg7Pd2, relaxed, DFT PBE-GGA; DFT total energy = -38.6 eV/f.u.; N(E_F) = 0.738 states/eV/atom; formation enthalpy at 0 K = -275.9 meV/atom; space-group type = R-3m (166)
1.0
-1.630 -2.291 -5.131
1.120 -5.620 -1.182
-8.363 -5.043 1.573
Pd Mg Ho
2 7 3
direct
0.666 0.666 0.001 Pd
0.334 0.334 0.999 Pd
0.577 0.073 0.773 Mg
0.500 0.500 0.500 Mg
0.577 0.577 0.773 Mg
0.423 0.927 0.227 Mg
0.073 0.577 0.773 Mg
0.927 0.423 0.227 Mg
0.423 0.423 0.227 Mg
0.854 0.854 0.439 Ho
0.146 0.146 0.561 Ho
0.000 0.000 0.000 Ho

***

Record 21
Li2ZrTiN, relaxed, DFT PBE-GGA; DFT total energy = -28.8 eV/f.u.; N(E_F) = 0.744 states/eV/atom; space-group type = P4/mmm (123); E_form (uncorrected) = -0.046 eV per atom
1.0
4.162 0.000 0.000
0.000 4.399 0.000
0.000 0.000 4.162
Ti Li Zr N
1 2 1 1
direct
0.500 0.500 0.500 Ti
0.000 0.000 0.500 Li
0.500 0.000 0.000 Li
0.000 0.500 0.000 Zr
0.000 0.000 0.000 N

***

Record 22
TaInCo2, relaxed, DFT PBE-GGA; DFT total energy = -28.5 eV/f.u.; N(E_F) = 0.506 states/eV/atom; formation enthalpy at 0 K = 63.9 meV/atom; space-group type = Cm (8)
1.0
4.859 -0.005 -0.009
3.866 2.944 -0.009
1.031 0.347 4.163
Ta Co In
1 2 1
direct
0.258 0.258 0.181 Ta
0.758 0.758 0.702 Co
0.986 0.986 0.062 Co
0.498 0.498 0.555 In

***

Record 23
TlFeHg, relaxed, DFT PBE-GGA; DFT total energy = -9.5 eV/f.u.; ΔE to the lowest computed polymorph = 0.025 eV/atom; N(E_F) = 0.936 states/eV/atom; formation enthalpy at 0 K = 538.7 meV/atom; space-group type = P3m1 (156)
1.0
3.235 0.000 0.000
-1.618 2.802 0.000
0.000 0.000 7.004
Fe Tl Hg
1 1 1
direct
0.000 0.000 0.006 Fe
0.667 0.333 0.691 Tl
0.333 0.667 0.303 Hg

***

Record 24
YAlCl4, relaxed, DFT PBE-GGA; DFT total energy = -18.5 eV/f.u.; N(E_F) = 1.239 states/eV/atom; space-group type = F-43m (216); E_form (uncorrected) = -0.146 eV per atom
1.0
0.010 -0.324 5.871
-2.444 4.296 3.186
-5.021 -0.982 2.899
Cl Y Al
4 1 1
direct
0.873 0.376 0.376 Cl
0.376 0.873 0.376 Cl
0.376 0.376 0.873 Cl
0.376 0.376 0.376 Cl
0.750 0.750 0.750 Y
0.000 0.000 0.000 Al